BaTmAgTeSe2: optimized geometry, GGA-PBE. Values from VASP.

Cell and atoms, written as Quantum ESPRESSO input:
```
&SYSTEM
  ibrav = 0, nat = 12, ntyp = 5
/
ATOMIC_SPECIES
Ag 107.87 Ag.upf
Ba 137.33 Ba.upf
Se 78.96 Se.upf
Te 127.60 Te.upf
Tm 168.93 Tm.upf
CELL_PARAMETERS angstrom
-7.5982 0.6376 1.5958
6.7961 -3.5507 1.3750
2.2721 7.3941 7.8639
ATOMIC_POSITIONS angstrom
Ag -0.2213 0.5049 3.4573
Ag 1.6913 3.9760 7.3774
Ba 4.1075 -0.7546 3.3909
Ba -2.6375 5.2356 7.4437
Se -2.1067 -0.5343 1.9293
Se -1.2110 2.3807 5.0295
Se 2.6810 2.1003 5.8052
Se 3.5767 5.0153 8.9054
Te -5.7074 2.1013 3.5415
Te 7.1774 2.3797 7.2932
Tm 0.0000 0.0000 0.0000
Tm 1.1360 3.6970 3.9319
```

The value obtained for the size of the total moment is 0.01 μB per cell. The symmetry is Cmcm, No. 63. The value obtained for the total DFT energy (no corrections) is -27.73 eV/f.u.